This record from Alexandria describes a relaxed ErNi5H7 crystal. The functional is PBE.

Lattice parameters (Å, degrees): 5.386 4.983 4.983 114.52 71.96 71.95
Element x y z (fractional)
Ni  0.982  0.550  0.994
Er  0.615  0.226  0.226
Ni  0.006  0.445  0.445
H  0.044  0.734  0.734
Ni  0.454  0.649  0.967
H  0.176  0.203  0.598
H  0.259  0.065  0.065
Ni  0.454  0.967  0.649
H  0.633  0.616  0.616
H  0.176  0.598  0.203
Ni  0.982  0.994  0.550
H  0.610  0.217  0.736
H  0.610  0.736  0.217

Calculated values
* D(E_F): 0.2607 states/eV/atom
* space group: Cm (8)
* raw total energy: -4.575 eV per atom

=====

This record from Alexandria describes a relaxed ErNi2H7 crystal. The functional is PBE.

Lattice parameters (Å, degrees): 3.470 4.834 4.834 119.17 90.00 90.00
Element x y z (fractional)
H  0.500  0.046  0.319
H  0.500  0.954  0.681
Ni  0.500  0.307  0.693
H  0.000  0.688  0.312
H  0.500  0.500  0.500
Er  0.000  0.000  0.000
H  0.500  0.681  0.954
H  0.000  0.312  0.688
Ni  0.500  0.693  0.307
H  0.500  0.319  0.046

Calculated values
* D(E_F): 0.1241 states/eV/atom
* space group: Cmmm (65)
* raw total energy: -4.120 eV per atom